Here is a relaxed Li2ScNiH crystal from Alexandria via LeMat-Bulk. Energies are from PBE-GGA.

Calculated values
calculated volume: 62.7 Å³ per cell
crystal system: tetragonal
E: -4.075 eV/atom

```
data_Li2ScNiH
_symmetry_space_group_name_H-M 'P 1'
_symmetry_Int_Tables_number 1
_cell_length_a 3.6637
_cell_length_b 3.6637
_cell_length_c 4.6700
_cell_angle_alpha 90.00
_cell_angle_beta 90.00
_cell_angle_gamma 90.00
loop_
_symmetry_equiv_pos_as_xyz
'x,y,z'
loop_
_atom_site_label
_atom_site_fract_x
_atom_site_fract_y
_atom_site_fract_z
Li1 0.0000 0.5000 0.0000
Li2 0.5000 0.0000 0.0000
Sc1 0.0000 0.0000 0.5000
Ni1 0.5000 0.5000 0.5000
H1 0.0000 0.0000 0.0000
```